1.
LaNdSm2Dy | Alexandria via LeMat-Bulk | PBE | optimized geometry; final energy = -4.481 eV/atom; calculated volume = 36.03 Å³/atom; formation enthalpy at 0 K = 265.8 meV per atom
1.0
6.490 0.000 0.000
0.000 9.049 0.203
0.000 -2.141 6.087
Sm Dy Nd La
4 2 2 2
Direct
0.675 0.683 0.837 Sm
0.325 0.317 0.163 Sm
0.325 0.683 0.337 Sm
0.675 0.317 0.663 Sm
0.485 0.000 0.750 Dy
0.515 0.000 0.250 Dy
0.162 0.500 0.750 Nd
0.838 0.500 0.250 Nd
0.000 0.000 0.000 La
0.000 0.000 0.500 La

=====

2.
SmIn2Ge | Alexandria via LeMat-Bulk | PBE | optimized geometry; final energy = -4.147 eV/atom; calculated volume = 24.02 Å³/atom; formation enthalpy at 0 K = -443.6 meV per atom; energy above the most stable polymorph in this dataset = 0 meV per atom
1.0
-3.447 -3.548 0.061
3.149 -3.065 -0.338
0.280 -0.197 4.394
In Sm Ge
2 1 1
Direct
0.000 0.500 0.000 In
0.000 0.000 0.500 In
0.500 0.000 0.000 Sm
0.500 0.500 0.500 Ge

=====

3.
ScTiPt3 | Alexandria via LeMat-Bulk | PBE | optimized geometry; final energy = -7.233 eV/atom; calculated volume = 17.80 Å³/atom; formation enthalpy at 0 K = -762.8 meV per atom; energy above the most stable polymorph in this dataset = 0 meV per atom
1.0
-2.039 -1.292 -4.484
-2.856 -4.001 2.451
-3.374 6.050 -0.209
Ti Pt Sc
2 6 2
Direct
0.750 0.815 0.630 Ti
0.250 0.185 0.370 Ti
0.750 0.911 0.317 Pt
0.250 0.594 0.683 Pt
0.250 0.089 0.683 Pt
0.750 0.406 0.317 Pt
0.500 0.000 0.000 Pt
0.000 0.000 0.000 Pt
0.750 0.415 0.830 Sc
0.250 0.585 0.170 Sc

=====

4.
DyBePPt | Alexandria via LeMat-Bulk | PBE | optimized geometry; final energy = -6.029 eV/atom; calculated volume = 17.40 Å³/atom; formation enthalpy at 0 K = -1084.2 meV per atom
1.0
3.988 0.000 0.000
0.000 3.988 0.000
0.000 0.000 8.756
Pt P Dy Be
2 2 2 2
Direct
0.000 0.000 0.500 Pt
0.500 0.500 0.500 Pt
0.500 0.000 0.865 P
0.000 0.500 0.135 P
0.500 0.000 0.186 Dy
0.000 0.500 0.814 Dy
0.000 0.500 0.374 Be
0.500 0.000 0.626 Be